Tb2MnGa | GGA-PBE | relaxed

Computed properties:
energy of formation from the pure elements	0.332	eV/atom

Cell lengths 3.3535, 3.3535, 31.0632 Å; angles 90.00, 90.00, 120.00 degrees
Space group R-3m (No. 166, hexagonal axes)
One atom of each set of equivalent atoms:
Tb 0.0000 0.0000 0.0924
Mn 0.0000 0.0000 0.0000
Ga 0.0000 0.0000 0.5000

=====

Tb4CuAg2Hg | GGA-PBE | relaxed

Computed properties:
energy of formation from the pure elements	-0.328	eV/atom

Cell lengths 5.1438, 5.1438, 25.1885 Å; angles 90.00, 90.00, 120.00 degrees
Space group R-3m (No. 166, hexagonal axes)
One atom of each set of equivalent atoms:
Tb 0.0000 0.0000 0.1201
Tb 0.0000 0.0000 0.3708
Cu 0.0000 0.0000 0.0000
Ag 0.0000 0.0000 0.2477
Hg 0.0000 0.0000 0.5000

=====

Ce3TlCd2 | GGA-PBE | relaxed

Computed properties:
energy of formation from the pure elements	-0.044	eV/atom

Cell lengths 8.7816, 11.0405, 6.7356 Å; angles 90.00, 93.77, 90.00 degrees
Space group C2/c (No. 15)
One atom of each set of equivalent atoms:
Ce 0.0000 0.2231 0.2500
Ce 0.1462 0.0396 0.4749
Tl 0.0000 0.4940 0.7500
Cd 0.1552 0.2529 0.8119

=====

| no. | density of states at the Fermi level (states/eV/atom) | spin magnetization (μB per formula unit) |
| --- | --- | --- |
| 1 | 0.973 | 3.19 |
| 2 | 0.732 | 0.00 |
| 3 | 2.014 | 2.17 |